(1)
Compound: Tb5PrHo12
Source: Alexandria
Functional: PBE
Structure: optimized geometry

abc: 10.6249 10.6249 6.1362
angles: 106.66 106.66 59.97
Sites, in units of the cell vectors:
1 Tb 0.0000 0.0000 0.0000
2 Tb 0.1667 0.1667 0.4998
3 Tb 0.3325 0.3325 0.9982
4 Tb 0.6675 0.6675 0.0018
5 Tb 0.8333 0.8333 0.5002
6 Pr 0.5000 0.5000 0.5000
7 Ho 0.0000 0.3335 0.9995
8 Ho 0.0000 0.6665 0.0005
9 Ho 0.1649 0.5002 0.4993
10 Ho 0.1658 0.8342 0.5000
11 Ho 0.3316 0.6684 0.0000
12 Ho 0.3335 0.0000 0.9995
13 Ho 0.5002 0.1649 0.4993
14 Ho 0.4998 0.8351 0.5007
15 Ho 0.6665 0.0000 0.0005
16 Ho 0.6684 0.3316 0.0000
17 Ho 0.8342 0.1658 0.5000
18 Ho 0.8351 0.4998 0.5007

Properties
Calculated formation energy: 20 meV/atom
Space group: C2/m (12)

(2)
Compound: Tb2Pr3Ho5
Source: Alexandria
Functional: PBE
Structure: optimized geometry

abc: 11.0749 11.0749 11.0749
angles: 108.23 81.54 146.54
Sites, in units of the cell vectors:
1 Tb 0.1558 0.1063 0.2622
2 Tb 0.3442 0.6063 0.9505
3 Tb 0.6558 0.3937 0.0495
4 Tb 0.8442 0.8937 0.7378
5 Pr 0.2431 0.8444 0.0875
6 Pr 0.2500 0.2500 0.0000
7 Pr 0.2569 0.3444 0.6013
8 Pr 0.7431 0.6556 0.3987
9 Pr 0.7500 0.7500 0.0000
10 Pr 0.7569 0.1556 0.9125
11 Ho 0.1557 0.5984 0.7541
12 Ho 0.2500 0.5041 0.2541
13 Ho 0.2500 0.7500 0.5000
14 Ho 0.2500 0.9959 0.7459
15 Ho 0.3443 0.0984 0.4427
16 Ho 0.6557 0.9016 0.5573
17 Ho 0.7500 0.0041 0.2541
18 Ho 0.7500 0.2500 0.5000
19 Ho 0.7500 0.4959 0.7459
20 Ho 0.8443 0.4016 0.2459

Properties
Relative energy among the computed polymorphs: 144.4 meV/atom
Calculated formation energy: 333 meV/atom
Space group: Ibam (72)

(3)
Compound: TbPr6Ho2
Source: Alexandria
Functional: PBE
Structure: optimized geometry

abc: 10.2176 10.2176 6.2990
angles: 95.09 95.09 71.51
Sites, in units of the cell vectors:
1 Tb 0.1008 0.8992 0.7500
2 Tb 0.8992 0.1008 0.2500
3 Pr 0.0208 0.7410 0.1806
4 Pr 0.0754 0.3556 0.3470
5 Pr 0.2590 0.9792 0.3194
6 Pr 0.3120 0.5915 0.4861
7 Pr 0.3556 0.0754 0.8470
8 Pr 0.4085 0.6880 0.0139
9 Pr 0.5915 0.3120 0.9861
10 Pr 0.6444 0.9246 0.1530
11 Pr 0.6880 0.4085 0.5139
12 Pr 0.7410 0.0208 0.6806
13 Pr 0.9246 0.6444 0.6530
14 Pr 0.9792 0.2590 0.8194
15 Ho 0.2327 0.4345 0.9163
16 Ho 0.4345 0.2327 0.4163
17 Ho 0.5655 0.7673 0.5837
18 Ho 0.7673 0.5655 0.0837

Properties
Relative energy among the computed polymorphs: 0.0 meV/atom
Calculated formation energy: 81 meV/atom
Space group: C2/c (15)

(4)
Compound: TbPr6Ho2
Source: Alexandria
Functional: PBE
Structure: optimized geometry

abc: 10.1185 10.1185 3.6866
angles: 90.00 90.00 124.05
Sites, in units of the cell vectors:
1 Tb 0.0000 0.0000 0.0000
2 Pr 0.1590 0.4902 0.0000
3 Pr 0.3165 0.3165 0.5000
4 Pr 0.4902 0.1590 0.0000
5 Pr 0.5098 0.8410 0.0000
6 Pr 0.6835 0.6835 0.5000
7 Pr 0.8410 0.5098 0.0000
8 Ho 0.1765 0.8235 0.5000
9 Ho 0.8235 0.1765 0.5000

Properties
Relative energy among the computed polymorphs: 46.7 meV/atom
Calculated formation energy: 127 meV/atom
Space group: Cmmm (65)

(5)
Compound: Tb4Pr5Ho
Source: Alexandria
Functional: PBE
Structure: optimized geometry

abc: 9.6000 9.6000 10.2907
angles: 105.67 105.67 21.83
Sites, in units of the cell vectors:
1 Tb 0.1003 0.1003 0.2949
2 Tb 0.3007 0.3007 0.9003
3 Tb 0.6993 0.6993 0.0997
4 Tb 0.8997 0.8997 0.7051
5 Pr 0.0994 0.0994 0.8053
6 Pr 0.2997 0.2997 0.3995
7 Pr 0.5000 0.5000 0.5000
8 Pr 0.7003 0.7003 0.6005
9 Pr 0.9006 0.9006 0.1947
10 Ho 0.5000 0.5000 0.0000

Properties
Relative energy among the computed polymorphs: 0.0 meV/atom
Calculated formation energy: 17 meV/atom
Space group: C2/m (12)

(6)
Compound: Tb3Pr3Ho4
Source: Alexandria
Functional: PBE
Structure: optimized geometry

abc: 3.6970 9.5141 9.5141
angles: 89.72 90.00 90.00
Sites, in units of the cell vectors:
1 Tb 0.0000 0.0000 0.0000
2 Tb 0.5000 0.3204 0.8275
3 Tb 0.5000 0.8275 0.3204
4 Pr 0.0000 0.1504 0.4995
5 Pr 0.0000 0.4995 0.1504
6 Pr 0.0000 0.6521 0.6521
7 Ho 0.5000 0.1994 0.1994
8 Ho 0.5000 0.4501 0.4501
9 Ho 0.5000 0.7047 0.9520
10 Ho 0.5000 0.9520 0.7047

Properties
Calculated formation energy: 98 meV/atom
Space group: Amm2 (38)

(7)
Compound: TbPr2Ho
Source: Alexandria
Functional: PBE
Structure: optimized geometry

abc: 3.6403 3.6403 10.1933
angles: 90.00 90.00 90.00
Sites, in units of the cell vectors:
1 Tb 0.0000 0.0000 0.0000
2 Pr 0.5000 0.5000 0.2512
3 Pr 0.5000 0.5000 0.7488
4 Ho 0.0000 0.0000 0.5000

Properties
Relative energy among the computed polymorphs: 8.3 meV/atom
Calculated formation energy: 20 meV/atom
Space group: P4/mmm (123)

(8)
Compound: Tb6Pr3Ho
Source: Alexandria
Functional: PBE
Structure: optimized geometry

abc: 6.6905 6.6905 9.8280
angles: 112.13 112.13 59.35
Sites, in units of the cell vectors:
1 Tb 0.0585 0.5704 0.1856
2 Tb 0.1356 0.1356 0.4202
3 Tb 0.4296 0.9415 0.8144
4 Tb 0.5704 0.0585 0.1856
5 Tb 0.8644 0.8644 0.5798
6 Tb 0.9415 0.4296 0.8144
7 Pr 0.4285 0.4285 0.7986
8 Pr 0.5000 0.5000 0.5000
9 Pr 0.5715 0.5715 0.2014
10 Ho 0.0000 0.0000 0.0000

Properties
Calculated formation energy: 227 meV/atom
Space group: C2/m (12)

(9)
Compound: Tb3PrHo7
Source: Alexandria
Functional: PBE
Structure: optimized geometry

abc: 6.9361 5.5295 9.8948
angles: 90.00 109.55 90.00
Sites, in units of the cell vectors:
1 Tb 0.0000 0.0000 0.0000
2 Tb 0.2219 0.5000 0.5039
3 Tb 0.7781 0.5000 0.4961
4 Pr 0.5000 0.0000 0.0000
5 Ho 0.0749 0.0000 0.6686
6 Ho 0.1761 0.5000 0.8577
7 Ho 0.3516 0.5000 0.2107
8 Ho 0.5000 0.0000 0.5000
9 Ho 0.6484 0.5000 0.7893
10 Ho 0.8239 0.5000 0.1423
11 Ho 0.9251 0.0000 0.3314

Properties
Relative energy among the computed polymorphs: 0.0 meV/atom
Calculated formation energy: 148 meV/atom
Space group: P2/m (10)

(10)
Compound: Tb4Pr2Ho
Source: Alexandria
Functional: PBE
Structure: optimized geometry

abc: 9.5128 9.5128 9.5128
angles: 146.08 146.08 48.73
Sites, in units of the cell vectors:
1 Tb 0.0000 0.5000 0.5000
2 Tb 0.1763 0.1763 0.0000
3 Tb 0.5000 0.0000 0.5000
4 Tb 0.8237 0.8237 0.0000
5 Pr 0.3760 0.3760 0.0000
6 Pr 0.6240 0.6240 0.0000
7 Ho 0.0000 0.0000 0.0000

Properties
Relative energy among the computed polymorphs: 458.3 meV/atom
Calculated formation energy: 645 meV/atom
Space group: I4/mmm (139)

(11)
Compound: TbPr4Ho6
Source: Alexandria
Functional: PBE
Structure: optimized geometry

abc: 8.5506 8.5506 8.5506
angles: 126.31 126.31 79.37
Sites, in units of the cell vectors:
1 Tb 0.0000 0.0000 0.0000
2 Pr 0.2462 0.2462 0.6466
3 Pr 0.4004 0.7538 0.0000
4 Pr 0.5996 0.5996 0.3534
5 Pr 0.7538 0.4004 0.0000
6 Ho 0.0000 0.5000 0.5000
7 Ho 0.0592 0.5754 0.0000
8 Ho 0.4246 0.4246 0.4837
9 Ho 0.5000 0.0000 0.5000
10 Ho 0.5754 0.0592 0.0000
11 Ho 0.9408 0.9408 0.5163

Properties
Relative energy among the computed polymorphs: 160.1 meV/atom
Calculated formation energy: 456 meV/atom
Space group: I-42m (121)

(12)
Compound: Tb7PrHo12
Source: Alexandria
Functional: PBE
Structure: optimized geometry

abc: 8.6713 8.6713 8.6713
angles: 95.19 95.19 95.19
Sites, in units of the cell vectors:
1 Tb 0.0000 0.0000 0.0000
2 Tb 0.1474 0.4840 0.4181
3 Tb 0.4181 0.1474 0.4839
4 Tb 0.4839 0.4181 0.1474
5 Tb 0.5161 0.5819 0.8526
6 Tb 0.5819 0.8526 0.5161
7 Tb 0.8526 0.5161 0.5819
8 Pr 0.5000 0.5000 0.5000
9 Ho 0.0232 0.3540 0.0862
10 Ho 0.0862 0.0232 0.3540
11 Ho 0.1800 0.3104 0.7511
12 Ho 0.2489 0.8200 0.6896
13 Ho 0.3104 0.7511 0.1800
14 Ho 0.3540 0.0862 0.0232
15 Ho 0.6460 0.9138 0.9768
16 Ho 0.6896 0.2489 0.8200
17 Ho 0.7511 0.1800 0.3104
18 Ho 0.8200 0.6896 0.2489
19 Ho 0.9138 0.9768 0.6460
20 Ho 0.9768 0.6460 0.9138

Properties
Relative energy among the computed polymorphs: 0.0 meV/atom
Calculated formation energy: 301 meV/atom
Space group: R-3 (148)

(13)
Compound: Tb3Pr2Ho5
Source: Alexandria
Functional: PBE
Structure: optimized geometry

abc: 9.6283 9.6283 9.3785
angles: 108.10 108.10 113.18
Sites, in units of the cell vectors:
1 Tb 0.0213 0.9787 0.7500
2 Tb 0.2210 0.4667 0.4508
3 Tb 0.4667 0.2210 0.9508
4 Tb 0.5333 0.7790 0.0492
5 Tb 0.7790 0.5333 0.5492
6 Tb 0.9787 0.0213 0.2500
7 Pr 0.0140 0.2700 0.0463
8 Pr 0.2700 0.0140 0.5463
9 Pr 0.7300 0.9860 0.4537
10 Pr 0.9860 0.7300 0.9537
11 Ho 0.1441 0.3890 0.7771
12 Ho 0.2303 0.7697 0.7500
13 Ho 0.2755 0.7245 0.2500
14 Ho 0.3890 0.1441 0.2771
15 Ho 0.4737 0.5263 0.2500
16 Ho 0.5263 0.4737 0.7500
17 Ho 0.6110 0.8559 0.7229
18 Ho 0.7245 0.2755 0.7500
19 Ho 0.7697 0.2303 0.2500
20 Ho 0.8559 0.6110 0.2229

Properties
Relative energy among the computed polymorphs: 0.0 meV/atom
Calculated formation energy: 192 meV/atom
Space group: C2/c (15)

(14)
Compound: Tb7Pr3Ho2
Source: Alexandria
Functional: PBE
Structure: optimized geometry

abc: 5.8717 3.5918 18.9219
angles: 90.00 93.02 90.00
Sites, in units of the cell vectors:
1 Tb 0.0000 0.0000 0.0000
2 Tb 0.1917 0.5000 0.1763
3 Tb 0.2569 0.5000 0.5373
4 Tb 0.3104 0.0000 0.8555
5 Tb 0.6896 0.0000 0.1445
6 Tb 0.7431 0.5000 0.4627
7 Tb 0.8083 0.5000 0.8237
8 Pr 0.2206 0.0000 0.3662
9 Pr 0.5000 0.5000 0.0000
10 Pr 0.7794 0.0000 0.6338
11 Ho 0.2898 0.5000 0.7070
12 Ho 0.7102 0.5000 0.2930

Properties
Relative energy among the computed polymorphs: 0.0 meV/atom
Calculated formation energy: 85 meV/atom
Space group: P2/m (10)

(15)
Compound: TbPr6Ho8
Source: Alexandria
Functional: PBE
Structure: optimized geometry

abc: 8.7585 8.7585 8.7585
angles: 62.78 62.78 62.78
Sites, in units of the cell vectors:
1 Tb 0.0000 0.0000 0.0000
2 Pr 0.1007 0.5376 0.2285
3 Pr 0.2285 0.1007 0.5376
4 Pr 0.4624 0.7715 0.8993
5 Pr 0.5376 0.2285 0.1007
6 Pr 0.7715 0.8993 0.4624
7 Pr 0.8993 0.4624 0.7715
8 Ho 0.1125 0.7150 0.7516
9 Ho 0.2484 0.8875 0.2850
10 Ho 0.2850 0.2484 0.8875
11 Ho 0.4233 0.4233 0.4233
12 Ho 0.5767 0.5767 0.5767
13 Ho 0.7150 0.7516 0.1125
14 Ho 0.7516 0.1125 0.7150
15 Ho 0.8875 0.2850 0.2484

Properties
Calculated formation energy: 120 meV/atom
Space group: R-3 (148)

(16)
Compound: TbPr7Ho4
Source: Alexandria
Functional: PBE
Structure: optimized geometry

abc: 6.3618 7.3316 9.0423
angles: 89.96 76.50 89.97
Sites, in units of the cell vectors:
1 Tb 0.0000 0.0000 0.0000
2 Pr 0.0000 0.5000 0.0000
3 Pr 0.2217 0.0002 0.3345
4 Pr 0.2802 0.2513 0.6654
5 Pr 0.4990 0.7473 0.9976
6 Pr 0.5010 0.2527 0.0024
7 Pr 0.7198 0.7487 0.3346
8 Pr 0.7783 0.9998 0.6655
9 Ho 0.2194 0.4997 0.3361
10 Ho 0.2772 0.7462 0.6672
11 Ho 0.7228 0.2538 0.3328
12 Ho 0.7806 0.5003 0.6639

Properties
Relative energy among the computed polymorphs: 0.0 meV/atom
Calculated formation energy: 7 meV/atom
Space group: P-1 (2)

(17)
Compound: Tb6Pr2Ho
Source: Alexandria
Functional: PBE
Structure: optimized geometry

abc: 9.6624 9.6624 6.6340
angles: 99.54 99.54 96.40
Sites, in units of the cell vectors:
1 Tb 0.0383 0.4421 0.7284
2 Tb 0.1527 0.7762 0.9955
3 Tb 0.2238 0.8473 0.5045
4 Tb 0.2776 0.4609 0.1842
5 Tb 0.4421 0.0383 0.2284
6 Tb 0.4609 0.2776 0.6842
7 Tb 0.5391 0.7224 0.3158
8 Tb 0.5579 0.9617 0.7716
9 Tb 0.7224 0.5391 0.8158
10 Tb 0.7762 0.1527 0.4955
11 Tb 0.8473 0.2238 0.0045
12 Tb 0.9617 0.5579 0.2716
13 Pr 0.1194 0.1705 0.3744
14 Pr 0.1705 0.1194 0.8744
15 Pr 0.8295 0.8806 0.1256
16 Pr 0.8806 0.8295 0.6256
17 Ho 0.3831 0.6169 0.7500
18 Ho 0.6169 0.3831 0.2500

Properties
Relative energy among the computed polymorphs: 5.5 meV/atom
Calculated formation energy: 114 meV/atom
Space group: C2/c (15)

(18)
Compound: Tb3Pr7Ho2
Source: Alexandria
Functional: PBE
Structure: optimized geometry

abc: 19.5553 19.5553 3.6484
angles: 90.00 90.00 162.74
Sites, in units of the cell vectors:
1 Tb 0.0000 0.0000 0.0000
2 Tb 0.1842 0.8158 0.0000
3 Tb 0.8158 0.1842 0.0000
4 Pr 0.0935 0.9065 0.5000
5 Pr 0.2678 0.7322 0.5000
6 Pr 0.4269 0.5731 0.0000
7 Pr 0.5000 0.5000 0.5000
8 Pr 0.5731 0.4269 0.0000
9 Pr 0.7322 0.2678 0.5000
10 Pr 0.9065 0.0935 0.5000
11 Ho 0.3510 0.6490 0.5000
12 Ho 0.6490 0.3510 0.5000

Properties
Relative energy among the computed polymorphs: 0.0 meV/atom
Calculated formation energy: 114 meV/atom
Space group: Cmmm (65)

(19)
Compound: TbPr4Ho7
Source: Alexandria
Functional: PBE
Structure: optimized geometry

abc: 6.7525 6.7525 12.8717
angles: 114.97 114.97 52.06
Sites, in units of the cell vectors:
1 Tb 0.0000 0.0000 0.0000
2 Pr 0.2190 0.2190 0.6637
3 Pr 0.3608 0.3608 0.2224
4 Pr 0.6392 0.6392 0.7776
5 Pr 0.7810 0.7810 0.3363
6 Ho 0.0705 0.0705 0.3097
7 Ho 0.2115 0.2115 0.9235
8 Ho 0.3678 0.3678 0.5059
9 Ho 0.5000 0.5000 0.0000
10 Ho 0.6322 0.6322 0.4941
11 Ho 0.7885 0.7885 0.0765
12 Ho 0.9295 0.9295 0.6903

Properties
Relative energy among the computed polymorphs: 175.1 meV/atom
Calculated formation energy: 263 meV/atom
Space group: C2/m (12)